## BaPm2Sn2Hg2 (PBE)

Data for crystalline BaPm2Sn2Hg2 at its relaxed geometry.

Cell and atoms, written as CIF:
```
data_BaPm2Sn2Hg2
_symmetry_space_group_name_H-M 'R -3 m'
_symmetry_Int_Tables_number 166
_symmetry_space_group_name_Hall '-R 3 2"'
_cell_length_a 5.1638
_cell_length_b 5.1638
_cell_length_c 29.1343
_cell_angle_alpha 90.00
_cell_angle_beta 90.00
_cell_angle_gamma 120.00
loop_
_atom_site_label
_atom_site_fract_x
_atom_site_fract_y
_atom_site_fract_z
Ba1 0.0000 0.0000 0.0000
Pm1 0.0000 0.0000 0.1338
Sn1 0.0000 0.0000 0.2559
Hg1 0.0000 0.0000 0.4360
```

Properties
**Crystal system**: trigonal



## Ba2SrPm2Hg5 (PBE)

Data for crystalline Ba2SrPm2Hg5 at its relaxed geometry.

Cell and atoms, written as CIF:
```
data_Ba2SrPm2Hg5
_symmetry_space_group_name_H-M 'P 4/m b m'
_symmetry_Int_Tables_number 127
_symmetry_space_group_name_Hall '-P 4 2ab'
_cell_length_a 12.459
_cell_length_b 12.459
_cell_length_c 4.328
_cell_angle_alpha 90.00
_cell_angle_beta 90.00
_cell_angle_gamma 90.00
loop_
_atom_site_label
_atom_site_fract_x
_atom_site_fract_y
_atom_site_fract_z
Ba1 0.174 0.326 0.000
Sr1 0.000 0.000 0.000
Pm1 0.125 0.625 0.000
Hg1 0.000 0.500 0.500
Hg2 0.070 0.801 0.500
```

Properties
**Crystal system**: tetragonal



## BaSr2PmHg4 (PBE)

Data for crystalline BaSr2PmHg4 at its relaxed geometry.

Cell and atoms, written as CIF:
```
data_BaSr2PmHg4
_symmetry_space_group_name_H-M 'R -3 m'
_symmetry_Int_Tables_number 166
_symmetry_space_group_name_Hall '-R 3 2"'
_cell_length_a 5.6308
_cell_length_b 5.6308
_cell_length_c 27.9464
_cell_angle_alpha 90.00
_cell_angle_beta 90.00
_cell_angle_gamma 120.00
loop_
_atom_site_label
_atom_site_fract_x
_atom_site_fract_y
_atom_site_fract_z
Ba1 0.0000 0.0000 0.0000
Sr1 0.0000 0.0000 0.2492
Pm1 0.0000 0.0000 0.5000
Hg1 0.0000 0.0000 0.1298
Hg2 0.0000 0.0000 0.3824
```

Properties
**Crystal system**: trigonal



## BaPmHgTe3 (PBE)

Data for crystalline BaPmHgTe3 at its relaxed geometry.

Cell and atoms, written as CIF:
```
data_BaPmHgTe3
_symmetry_space_group_name_H-M 'P 1 21/m 1'
_symmetry_Int_Tables_number 11
_symmetry_space_group_name_Hall '-P 2yb'
_cell_length_a 8.962
_cell_length_b 4.534
_cell_length_c 11.001
_cell_angle_alpha 90.00
_cell_angle_beta 105.03
_cell_angle_gamma 90.00
loop_
_atom_site_label
_atom_site_fract_x
_atom_site_fract_y
_atom_site_fract_z
Ba1 0.233 0.250 0.286
Pm1 0.328 0.750 0.832
Hg1 0.104 0.250 0.564
Te1 0.080 0.250 0.831
Te2 0.347 0.750 0.549
Te3 0.417 0.750 0.131
```

Properties
**Crystal system**: monoclinic



## BaPrHg2 (PBE)

Data for crystalline BaPrHg2 at its relaxed geometry.

Cell and atoms, written as CIF:
```
data_BaPrHg2
_symmetry_space_group_name_H-M 'P 4/m m m'
_symmetry_Int_Tables_number 123
_symmetry_space_group_name_Hall '-P 4 2'
_cell_length_a 3.996
_cell_length_b 3.996
_cell_length_c 8.185
_cell_angle_alpha 90.00
_cell_angle_beta 90.00
_cell_angle_gamma 90.00
loop_
_atom_site_label
_atom_site_fract_x
_atom_site_fract_y
_atom_site_fract_z
Ba1 0.000 0.000 0.000
Pr1 0.000 0.000 0.500
Hg1 0.500 0.500 0.285
```

Properties
**Crystal system**: tetragonal



## BaPr5Hg6 (PBE)

Data for crystalline BaPr5Hg6 at its relaxed geometry.

Cell and atoms, written as CIF:
```
data_BaPr5Hg6
_symmetry_space_group_name_H-M 'I m m m'
_symmetry_Int_Tables_number 71
_symmetry_space_group_name_Hall '-I 2 2'
_cell_length_a 5.528
_cell_length_b 7.842
_cell_length_c 16.609
_cell_angle_alpha 90.00
_cell_angle_beta 90.00
_cell_angle_gamma 90.00
loop_
_atom_site_label
_atom_site_fract_x
_atom_site_fract_y
_atom_site_fract_z
Ba1 0.000 0.000 0.000
Pr1 0.000 0.000 0.331
Pr2 0.000 0.500 0.000
Pr3 0.000 0.500 0.339
Hg1 0.000 0.227 0.500
Hg2 0.000 0.262 0.174
```

Properties
**Crystal system**: orthorhombic



## BaPrHg (PBE)

Data for crystalline BaPrHg at its relaxed geometry.

Cell and atoms, written as CIF:
```
data_BaPrHg
_symmetry_space_group_name_H-M 'P 3 m 1'
_symmetry_Int_Tables_number 156
_symmetry_space_group_name_Hall 'P 3 -2"'
_cell_length_a 5.4504
_cell_length_b 5.4504
_cell_length_c 4.4789
_cell_angle_alpha 90.00
_cell_angle_beta 90.00
_cell_angle_gamma 120.00
loop_
_atom_site_label
_atom_site_fract_x
_atom_site_fract_y
_atom_site_fract_z
Ba1 0.0000 0.0000 0.0000
Pr1 0.3333 0.6667 0.4997
Hg1 0.6667 0.3333 0.5010
```

Properties
**Distance to the lowest polymorph of the same formula**: 13.3 kJ/mol of atoms
**Crystal system**: trigonal



## BaPrHg (PBE)

Data for crystalline BaPrHg at its relaxed geometry.

Cell and atoms, written as CIF:
```
data_BaPrHg
_symmetry_space_group_name_H-M 'I 4 m m'
_symmetry_Int_Tables_number 107
_symmetry_space_group_name_Hall 'I 4 -2'
_cell_length_a 4.045
_cell_length_b 4.045
_cell_length_c 14.096
_cell_angle_alpha 90.00
_cell_angle_beta 90.00
_cell_angle_gamma 90.00
loop_
_atom_site_label
_atom_site_fract_x
_atom_site_fract_y
_atom_site_fract_z
Ba1 0.000 0.000 0.000
Pr1 0.000 0.000 0.274
Hg1 0.000 0.000 0.667
```

Properties
**Distance to the lowest polymorph of the same formula**: 2.6 kJ/mol of atoms
**Crystal system**: tetragonal



## BaPr2Hg (PBE)

Data for crystalline BaPr2Hg at its relaxed geometry.

Cell and atoms, written as CIF:
```
data_BaPr2Hg
_symmetry_space_group_name_H-M 'R -3 m'
_symmetry_Int_Tables_number 166
_symmetry_space_group_name_Hall '-R 3 2"'
_cell_length_a 3.8229
_cell_length_b 3.8229
_cell_length_c 36.7814
_cell_angle_alpha 90.00
_cell_angle_beta 90.00
_cell_angle_gamma 120.00
loop_
_atom_site_label
_atom_site_fract_x
_atom_site_fract_y
_atom_site_fract_z
Ba1 0.0000 0.0000 0.0000
Pr1 0.0000 0.0000 0.1019
Hg1 0.0000 0.0000 0.5000
```

Properties
**Distance to the lowest polymorph of the same formula**: 16.5 kJ/mol of atoms
**Crystal system**: trigonal



## Ba2PrHg3 (PBE)

Data for crystalline Ba2PrHg3 at its relaxed geometry.

Cell and atoms, written as CIF:
```
data_Ba2PrHg3
_symmetry_space_group_name_H-M 'P 4/m m m'
_symmetry_Int_Tables_number 123
_symmetry_space_group_name_Hall '-P 4 2'
_cell_length_a 4.058
_cell_length_b 4.058
_cell_length_c 12.393
_cell_angle_alpha 90.00
_cell_angle_beta 90.00
_cell_angle_gamma 90.00
loop_
_atom_site_label
_atom_site_fract_x
_atom_site_fract_y
_atom_site_fract_z
Ba1 0.000 0.000 0.177
Pr1 0.000 0.000 0.500
Hg1 0.500 0.500 0.000
Hg2 0.500 0.500 0.359
```

Properties
**Crystal system**: tetragonal



## BaPr4Hg4 (PBE)

Data for crystalline BaPr4Hg4 at its relaxed geometry.

Cell and atoms, written as CIF:
```
data_BaPr4Hg4
_symmetry_space_group_name_H-M 'P 42/n'
_symmetry_Int_Tables_number 86
_cell_length_a 10.320
_cell_length_b 10.320
_cell_length_c 5.619
_cell_angle_alpha 90.00
_cell_angle_beta 90.00
_cell_angle_gamma 90.00
loop_
_symmetry_equiv_pos_as_xyz
'x,y,z'
'-x,-y,-z'
'-y,x+1/2,z+1/2'
'y,-x+1/2,-z+1/2'
'-x+1/2,-y+1/2,z'
'x+1/2,y+1/2,-z'
'y+1/2,-x,z+1/2'
'-y+1/2,x,-z+1/2'
loop_
_atom_site_label
_atom_site_fract_x
_atom_site_fract_y
_atom_site_fract_z
Ba1 0.250 0.250 0.250
Pr1 0.105 0.851 0.746
Hg1 0.048 0.155 0.754
```

Properties
**Crystal system**: tetragonal



## BaPr2Hg6 (PBE)

Data for crystalline BaPr2Hg6 at its relaxed geometry.

Cell and atoms, written as CIF:
```
data_BaPr2Hg6
_symmetry_space_group_name_H-M 'C 1 2/m 1'
_symmetry_Int_Tables_number 12
_symmetry_space_group_name_Hall '-C 2y'
_cell_length_a 15.490
_cell_length_b 8.942
_cell_length_c 3.620
_cell_angle_alpha 90.00
_cell_angle_beta 90.13
_cell_angle_gamma 90.00
loop_
_atom_site_label
_atom_site_fract_x
_atom_site_fract_y
_atom_site_fract_z
Ba1 0.000 0.000 0.000
Pr1 0.167 0.500 0.000
Hg1 0.000 0.338 0.500
Hg2 0.169 0.169 0.502
```

Properties
**Crystal system**: monoclinic



Number 1: total DFT energy (no corrections) -3.28 eV/atom, theoretical density 7.9 g cm⁻³. Number 2: total DFT energy (no corrections) -2.04 eV/atom, theoretical density 8.2 g cm⁻³. Number 3: total DFT energy (no corrections) -1.90 eV/atom, theoretical density 8.2 g cm⁻³. Number 4: total DFT energy (no corrections) -3.91 eV/atom, theoretical density 6.7 g cm⁻³. Number 5: total DFT energy (no corrections) -2.31 eV/atom, theoretical density 8.6 g cm⁻³. Number 6: total DFT energy (no corrections) -2.75 eV/atom, theoretical density 9.4 g cm⁻³. Number 7: total DFT energy (no corrections) -2.49 eV/atom, theoretical density 6.9 g cm⁻³. Number 8: total DFT energy (no corrections) -2.61 eV/atom, theoretical density 6.9 g cm⁻³. Number 9: total DFT energy (no corrections) -2.90 eV/atom, theoretical density 6.6 g cm⁻³. Number 10: total DFT energy (no corrections) -2.08 eV/atom, theoretical density 8.3 g cm⁻³. Number 11: total DFT energy (no corrections) -2.75 eV/atom, theoretical density 8.3 g cm⁻³. Number 12: total DFT energy (no corrections) -1.90 eV/atom, theoretical density 10.7 g cm⁻³.